1.
VASP calculation (PBE) on TaPbSe2Br after structural relaxation.

Lattice parameters (Å, degrees): 5.4490 5.4490 5.4084 90.00 90.00 90.00
Last column: nearest neighbours and their distance in Å.
Fractional positions:
Ta  0.0000  0.0000  0.0000  8 Se 3.84, 4 Br 3.85
Pb  0.5000  0.5000  0.5000  2 Br 2.70, 4 Se 2.72
Se  0.0000  0.5000  0.5000  2 Pb 2.72
Se  0.5000  0.0000  0.5000  2 Pb 2.72
Br  0.5000  0.5000  0.0000  2 Pb 2.70

Summary:
The value obtained for the offset from the most stable computed form is 1340 meV/atom.

---

2.
VASP calculation (PBE) on TaPbSeBr2 after structural relaxation.

Lattice parameters (Å, degrees): 5.6069 5.6069 5.0977 90.00 90.00 90.00
Last column: nearest neighbours and their distance in Å.
Fractional positions:
Ta  0.0000  0.0000  0.0000  2 Se 2.55, 4 Br 2.80
Pb  0.5000  0.5000  0.5000  8 Br 3.79, 4 Se 3.96
Se  0.0000  0.0000  0.5000  2 Ta 2.55
Br  0.0000  0.5000  0.0000  2 Ta 2.80
Br  0.5000  0.0000  0.0000  2 Ta 2.80

Summary:
The value obtained for the offset from the most stable computed form is 0 meV/atom.

---

3.
VASP calculation (PBE) on TaPbSeBr2 after structural relaxation.

Lattice parameters (Å, degrees): 5.6157 5.6157 5.6533 90.00 90.00 90.00
Last column: nearest neighbours and their distance in Å.
Fractional positions:
Ta  0.0000  0.0000  0.0000  4 Se 3.97, 8 Br 3.98
Pb  0.5000  0.5000  0.5000  4 Br 2.81, 2 Se 2.83
Se  0.5000  0.5000  0.0000  2 Pb 2.83
Br  0.0000  0.5000  0.5000  2 Pb 2.81
Br  0.5000  0.0000  0.5000  2 Pb 2.81

Summary:
The value obtained for the offset from the most stable computed form is 985 meV/atom.

---

4.
VASP calculation (PBE) on Te2Pb4SeBr after structural relaxation.

Lattice parameters (Å, degrees): 7.4760 4.4638 8.4416 90.00 108.36 90.00
Last column: nearest neighbours and their distance in Å.
Fractional positions:
Te  0.0000  0.0000  0.0000  6 Pb 3.31-3.32
Te  0.0000  0.5000  0.5000  6 Pb 3.20-3.21
Pb  0.2540  0.0000  0.7399  1 Se 3.14, 3 Te 3.20-3.32, 2 Br 3.26
Pb  0.2608  0.5000  0.2618  2 Se 3.16, 3 Te 3.21-3.31, 1 Br 3.25
Pb  0.7392  0.5000  0.7382  2 Se 3.16, 3 Te 3.21-3.31, 1 Br 3.25
Pb  0.7460  0.0000  0.2601  1 Se 3.14, 3 Te 3.20-3.32, 2 Br 3.26
Se  0.5000  0.0000  0.5000  6 Pb 3.14-3.16
Br  0.5000  0.5000  0.0000  6 Pb 3.25-3.26

---

5.
VASP calculation (PBE) on TePbSe2Br after structural relaxation.

Lattice parameters (Å, degrees): 5.4961 5.4961 5.3600 90.00 90.00 90.00
Last column: nearest neighbours and their distance in Å.
Fractional positions:
Te  0.0000  0.0000  0.0000  2 Br 2.68, 4 Se 2.75
Pb  0.5000  0.5000  0.5000  8 Se 3.84, 4 Br 3.89
Se  0.0000  0.5000  0.0000  2 Te 2.75
Se  0.5000  0.0000  0.0000  2 Te 2.75
Br  0.0000  0.0000  0.5000  2 Te 2.68

Summary:
The value obtained for the offset from the most stable computed form is 0 meV/atom.

---

6.
VASP calculation (PBE) on TePbSeBr2 after structural relaxation.

Lattice parameters (Å, degrees): 5.5785 5.5785 5.5716 90.00 90.00 90.00
Last column: nearest neighbours and their distance in Å.
Fractional positions:
Te  0.0000  0.0000  0.0000  2 Se 2.79, 4 Br 2.79
Pb  0.5000  0.5000  0.5000  8 Br 3.94, 4 Se 3.94
Se  0.0000  0.0000  0.5000  2 Te 2.79
Br  0.0000  0.5000  0.0000  2 Te 2.79
Br  0.5000  0.0000  0.0000  2 Te 2.79

Summary:
The value obtained for the offset from the most stable computed form is 0 meV/atom.

---

7.
VASP calculation (PBE) on TlPbSeBr after structural relaxation.

Lattice parameters (Å, degrees): 4.4656 4.4656 23.5086 90.00 90.00 120.00
Last column: nearest neighbours and their distance in Å.
Fractional positions:
Tl  0.0000  0.0000  0.0000  3 Se 3.28, 3 Br 3.40
Tl  0.3333  0.6667  0.6667  3 Se 3.28, 3 Br 3.40
Tl  0.6667  0.3333  0.3333  3 Se 3.28, 3 Br 3.40
Pb  0.0000  0.0000  0.5153  3 Se 3.00, 3 Br 3.30
Pb  0.3333  0.6667  0.1819  3 Se 3.00, 3 Br 3.30
Pb  0.6667  0.3333  0.8486  3 Se 3.00, 3 Br 3.30
Se  0.0000  0.0000  0.2468  3 Pb 3.00, 3 Tl 3.28
Se  0.3333  0.6667  0.9135  3 Pb 3.00, 3 Tl 3.28
Se  0.6667  0.3333  0.5802  3 Pb 3.00, 3 Tl 3.28
Br  0.0000  0.0000  0.7612  3 Pb 3.30, 3 Tl 3.40
Br  0.3333  0.6667  0.4279  3 Pb 3.30, 3 Tl 3.40
Br  0.6667  0.3333  0.0946  3 Pb 3.30, 3 Tl 3.40

---

8.
VASP calculation (PBE) on VPbSe2Br after structural relaxation.

Lattice parameters (Å, degrees): 5.0006 5.0006 5.0677 90.00 90.00 90.00
Last column: nearest neighbours and their distance in Å.
Fractional positions:
V  0.0000  0.0000  0.0000  4 Se 2.50, 2 Br 2.53
Pb  0.5000  0.5000  0.5000  4 Br 3.54, 8 Se 3.56
Se  0.0000  0.5000  0.0000  2 V 2.50
Se  0.5000  0.0000  0.0000  2 V 2.50
Br  0.0000  0.0000  0.5000  2 V 2.53

Summary:
The value obtained for the offset from the most stable computed form is 0 meV/atom.

---

9.
VASP calculation (PBE) on PbWSeBr2 after structural relaxation.

Lattice parameters (Å, degrees): 5.4534 5.4534 4.9896 90.00 90.00 90.00
Last column: nearest neighbours and their distance in Å.
Fractional positions:
Pb  0.0000  0.0000  0.0000  8 Br 3.70, 4 Se 3.86
W  0.5000  0.5000  0.5000  2 Se 2.49, 4 Br 2.73
Se  0.5000  0.5000  0.0000  2 W 2.49
Br  0.0000  0.5000  0.5000  2 W 2.73
Br  0.5000  0.0000  0.5000  2 W 2.73

Summary:
The value obtained for the offset from the most stable computed form is 0 meV/atom.

---

10.
VASP calculation (PBE) on YPbSeBr2 after structural relaxation.

Lattice parameters (Å, degrees): 5.5497 5.5497 5.5444 90.00 90.00 90.00
Last column: nearest neighbours and their distance in Å.
Fractional positions:
Y  0.0000  0.0000  0.0000  2 Se 2.77, 4 Br 2.77
Pb  0.5000  0.5000  0.5000  8 Br 3.92, 4 Se 3.92
Se  0.0000  0.0000  0.5000  2 Y 2.77
Br  0.0000  0.5000  0.0000  2 Y 2.77
Br  0.5000  0.0000  0.0000  2 Y 2.77

Summary:
The value obtained for the offset from the most stable computed form is 0 meV/atom.

---

11.
VASP calculation (PBE) on YPbSeBr2 after structural relaxation.

Lattice parameters (Å, degrees): 5.6252 5.6252 5.8383 90.00 90.00 90.00
Last column: nearest neighbours and their distance in Å.
Fractional positions:
Y  0.0000  0.0000  0.0000  4 Se 3.98, 8 Br 4.05
Pb  0.5000  0.5000  0.5000  4 Br 2.81, 2 Se 2.92
Se  0.5000  0.5000  0.0000  2 Pb 2.92
Br  0.0000  0.5000  0.5000  2 Pb 2.81
Br  0.5000  0.0000  0.5000  2 Pb 2.81

Summary:
The value obtained for the offset from the most stable computed form is 723 meV/atom.

---

12.
VASP calculation (PBE) on YPbSe2Br after structural relaxation.

Lattice parameters (Å, degrees): 5.5211 5.5211 5.4485 90.00 90.00 90.00
Last column: nearest neighbours and their distance in Å.
Fractional positions:
Y  0.0000  0.0000  0.0000  8 Se 3.88, 4 Br 3.90
Pb  0.5000  0.5000  0.5000  2 Br 2.72, 4 Se 2.76
Se  0.0000  0.5000  0.5000  2 Pb 2.76
Se  0.5000  0.0000  0.5000  2 Pb 2.76
Br  0.5000  0.5000  0.0000  2 Pb 2.72

Summary:
The value obtained for the offset from the most stable computed form is 722 meV/atom.

---

13.
VASP calculation (PBE) on YPbSe2Br after structural relaxation.

Lattice parameters (Å, degrees): 5.5318 5.5318 5.3744 90.00 90.00 90.00
Last column: nearest neighbours and their distance in Å.
Fractional positions:
Y  0.0000  0.0000  0.0000  2 Br 2.69, 4 Se 2.77
Pb  0.5000  0.5000  0.5000  8 Se 3.86, 4 Br 3.91
Se  0.0000  0.5000  0.0000  2 Y 2.77
Se  0.5000  0.0000  0.0000  2 Y 2.77
Br  0.0000  0.0000  0.5000  2 Y 2.69

Summary:
The value obtained for the offset from the most stable computed form is 0 meV/atom.

---

14.
VASP calculation (PBE) on ZnPbSeBr2 after structural relaxation.

Lattice parameters (Å, degrees): 5.7087 5.7087 5.6269 90.00 90.00 90.00
Last column: nearest neighbours and their distance in Å.
Fractional positions:
Zn  0.0000  0.0000  0.0000  8 Br 4.01, 4 Se 4.04
Pb  0.5000  0.5000  0.5000  2 Se 2.81, 4 Br 2.85
Se  0.5000  0.5000  0.0000  2 Pb 2.81
Br  0.0000  0.5000  0.5000  2 Pb 2.85
Br  0.5000  0.0000  0.5000  2 Pb 2.85

Summary:
The value obtained for the offset from the most stable computed form is 442 meV/atom.

---

15.
VASP calculation (PBE) on ZnPbSeBr2 after structural relaxation.

Lattice parameters (Å, degrees): 5.1357 5.1357 5.3099 90.00 90.00 90.00
Last column: nearest neighbours and their distance in Å.
Fractional positions:
Zn  0.0000  0.0000  0.0000  4 Br 2.57, 2 Se 2.65
Pb  0.5000  0.5000  0.5000  4 Se 3.63, 8 Br 3.69
Se  0.0000  0.0000  0.5000  2 Zn 2.65
Br  0.0000  0.5000  0.0000  2 Zn 2.57
Br  0.5000  0.0000  0.0000  2 Zn 2.57

Summary:
The value obtained for the offset from the most stable computed form is 0 meV/atom.

---

16.
VASP calculation (PBE) on Si2Pb2Br after structural relaxation.

Lattice parameters (Å, degrees): 5.2553 5.2553 6.5336 90.00 90.00 90.00
Last column: nearest neighbours and their distance in Å.
Fractional positions:
Si  0.0000  0.5000  0.0000  2 Pb 2.63
Si  0.5000  0.0000  0.0000  2 Pb 2.63
Pb  0.0000  0.0000  0.0000  4 Si 2.63
Pb  0.0000  0.0000  0.5000  2 Pb 3.27
Br  0.5000  0.5000  0.5000  4 Pb 3.72

Summary:
The value obtained for the offset from the most stable computed form is 988 meV/atom.

---

17.
VASP calculation (PBE) on SiPbBr2 after structural relaxation.

Lattice parameters (Å, degrees): 3.7239 4.5740 8.4618 90.00 102.30 90.00
Last column: nearest neighbours and their distance in Å.
Fractional positions:
Si  0.0000  0.0000  0.0000  1 Br 2.26
Pb  0.5412  0.5000  0.0868  2 Br 2.92, 4 Si 3.03-3.04
Br  0.1726  0.5000  0.3589  2 Pb 2.92
Br  0.8699  0.0000  0.7266  1 Si 2.26

Summary:
The value obtained for the offset from the most stable computed form is 0 meV/atom.

---

18.
VASP calculation (PBE) on Si2PbBr2 after structural relaxation.

Lattice parameters (Å, degrees): 3.5715 3.5715 24.3793 90.00 90.00 90.00
Last column: nearest neighbours and their distance in Å.
Fractional positions:
Si  0.0000  0.5000  0.2500  4 Si 2.53
Si  0.0000  0.5000  0.7500  4 Si 2.53
Si  0.5000  0.0000  0.2500  4 Si 2.53
Si  0.5000  0.0000  0.7500  4 Si 2.53
Pb  0.0000  0.0000  0.0000  8 Br 3.14
Pb  0.5000  0.5000  0.5000  8 Br 3.14
Br  0.0000  0.0000  0.4235  4 Pb 3.14
Br  0.0000  0.0000  0.5765  4 Pb 3.14
Br  0.5000  0.5000  0.0765  4 Pb 3.14
Br  0.5000  0.5000  0.9235  4 Pb 3.14

Summary:
The value obtained for the offset from the most stable computed form is 0 meV/atom.

---

19.
VASP calculation (PBE) on Si2PbBr after structural relaxation.

Lattice parameters (Å, degrees): 3.3404 5.1491 5.4808 90.00 90.00 90.00
Last column: nearest neighbours and their distance in Å.
Fractional positions:
Si  0.0000  0.0000  0.0000  6 Si 3.07-3.34, 4 Br 3.21
Si  0.5000  0.5000  0.0000  6 Si 3.07-3.34, 4 Pb 3.21
Pb  0.0000  0.5000  0.5000  4 Br 3.07, 4 Si 3.21, 2 Pb 3.34
Br  0.5000  0.0000  0.5000  4 Pb 3.07, 4 Si 3.21, 2 Br 3.34

Summary:
The value obtained for the offset from the most stable computed form is 525 meV/atom.

---

20.
VASP calculation (PBE) on SiPbBr2 after structural relaxation.

Lattice parameters (Å, degrees): 3.6597 3.6597 8.4394 90.00 90.00 90.00
Last column: nearest neighbours and their distance in Å.
Fractional positions:
Si  0.0000  0.0000  0.0000  4 Br 2.95, 4 Pb 3.19
Pb  0.5000  0.5000  0.7790  4 Si 3.19, 5 Br 3.19-3.28
Br  0.0000  0.0000  0.5576  4 Pb 3.19
Br  0.5000  0.5000  0.1673  4 Si 2.95, 1 Pb 3.28

Summary:
The value obtained for the offset from the most stable computed form is 226 meV/atom.

---

Total moment (computed, μB/f.u.): 2.746; 2.711; 3.395; 0.000; 0.000; 0.057; 0.000; 2.050; 2.617; 0.917; 0.938; 0.411; 0.000; 0.001; 0.000; 0.002; 0.000; 0.000; 0.000; 0.000
Formation energy from raw total energies (computed, meV per atom): 1132; -5; 980; -428; 55; 50; -681; -352; 290; -974; -251; -203; -925; 46; -396; 977; -198; -23; 531; 29